First-principles (PBE) data for an optimized crystal structure of Y4Ho6Er19, as listed in Alexandria via LeMat-Bulk.

a b c (Å): 10.7183 10.7183 10.7183
angles (deg): 109.47 109.47 109.47
With the nearest neighbours (Å) after each atom.
Positions (direct):
Y  0.0000  0.0000  0.6430  9 Er 3.29-3.39
Y  0.0000  0.6430  0.0000  9 Er 3.29-3.39
Y  0.3570  0.3570  0.3570  9 Er 3.29-3.39
Y  0.6430  0.0000  0.0000  9 Er 3.29-3.39
Ho  0.1289  0.6289  0.5000  1 Ho 3.19, 6 Er 3.19-3.56
Ho  0.3711  0.5000  0.8711  1 Ho 3.19, 6 Er 3.19-3.56
Ho  0.5000  0.1289  0.6289  1 Ho 3.19, 6 Er 3.19-3.56
Ho  0.5000  0.8711  0.3711  1 Ho 3.19, 6 Er 3.19-3.56
Ho  0.6289  0.5000  0.1289  1 Ho 3.19, 6 Er 3.19-3.56
Ho  0.8711  0.3711  0.5000  1 Ho 3.19, 6 Er 3.19-3.56
Er  0.0000  0.0000  0.0000  6 Er 3.25
Er  0.0000  0.2626  0.2626  5 Er 3.25-3.50, 2 Y 3.29, 2 Ho 3.34
Er  0.0000  0.7374  0.7374  5 Er 3.25-3.50, 2 Y 3.29, 2 Ho 3.34
Er  0.0144  0.8025  0.3395  2 Ho 3.19-3.56, 2 Y 3.32-3.39, 2 Er 3.33-3.50
Er  0.1975  0.2119  0.5370  2 Ho 3.19-3.56, 2 Y 3.32-3.39, 2 Er 3.33-3.50
Er  0.2119  0.5370  0.1975  2 Ho 3.19-3.56, 2 Y 3.32-3.39, 2 Er 3.33-3.50
Er  0.2626  0.0000  0.2626  5 Er 3.25-3.50, 2 Y 3.29, 2 Ho 3.34
Er  0.2626  0.2626  0.0000  5 Er 3.25-3.50, 2 Y 3.29, 2 Ho 3.34
Er  0.3251  0.7881  0.9856  2 Ho 3.19-3.56, 2 Y 3.32-3.39, 2 Er 3.33-3.50
Er  0.3395  0.0144  0.8025  2 Ho 3.19-3.56, 2 Y 3.32-3.39, 2 Er 3.33-3.50
Er  0.4630  0.6749  0.6605  2 Ho 3.19-3.56, 2 Y 3.32-3.39, 2 Er 3.33-3.50
Er  0.5370  0.1975  0.2119  2 Ho 3.19-3.56, 2 Y 3.32-3.39, 2 Er 3.33-3.50
Er  0.6605  0.4630  0.6749  2 Ho 3.19-3.56, 2 Y 3.32-3.39, 2 Er 3.33-3.50
Er  0.6749  0.6605  0.4630  2 Ho 3.19-3.56, 2 Y 3.32-3.39, 2 Er 3.33-3.50
Er  0.7374  0.0000  0.7374  5 Er 3.25-3.50, 2 Y 3.29, 2 Ho 3.34
Er  0.7374  0.7374  0.0000  5 Er 3.25-3.50, 2 Y 3.29, 2 Ho 3.34
Er  0.7881  0.9856  0.3251  2 Ho 3.19-3.56, 2 Y 3.32-3.39, 2 Er 3.33-3.50
Er  0.8025  0.3395  0.0144  2 Ho 3.19-3.56, 2 Y 3.32-3.39, 2 Er 3.33-3.50
Er  0.9856  0.3251  0.7881  2 Ho 3.19-3.56, 2 Y 3.32-3.39, 2 Er 3.33-3.50

Calculated values
The calculation puts the electronic total energy at -128.384 eV for the cell shown. As for the space group: I23 (197). As for the formation energy: 0.401 eV per atom.